Computed, not measured: a relaxed LaIrO3 crystal at the GGA-PBE level of DFT.

Unit cell a=5.8387 b=5.8387 c=12.6791 alpha=90.00 beta=90.00 gamma=120.00
Closest atoms and distances in Å follow each position.
Space group R-3c (No. 167, hexagonal axes)
One atom of each set of equivalent atoms:
La (0.0000, 0.0000, 0.2500)  3 O 2.34
Ir (0.0000, 0.0000, 0.0000)  6 O 2.07
O (0.0000, 0.4002, 0.2500)  2 Ir 2.07

Calculated values
For the total DFT energy (no corrections), the calculation gives -0.2827 Ha/atom. The calculation puts the theoretical density at 10091 kg/m³.

Computed, not measured: a relaxed Sr3OsS6 crystal at the GGA-PBE level of DFT.

Unit cell a=10.0832 b=10.0832 c=10.0832 alpha=90.00 beta=90.00 gamma=90.00
Closest atoms and distances in Å follow each position.
Space group Fm-3m (No. 225)
One atom of each set of equivalent atoms:
Sr (0.0000, 0.0000, 0.0000)  6 S 2.72
Sr (0.2500, 0.2500, 0.2500)  12 S 3.57
Os (0.0000, 0.0000, 0.5000)  6 S 2.33
S (0.0000, 0.0000, 0.2694)  1 Os 2.33

Calculated values
For the total DFT energy (no corrections), the calculation gives -0.1849 Ha/atom. The calculation puts the theoretical density at 4182 kg/m³.

The highest theoretical density belongs to which entry? LaIrO3

What did the first record say?
Computed, not measured: a relaxed LaIrO3 crystal at the GGA-PBE level of DFT.

Unit cell a=5.8387 b=5.8387 c=12.6791 alpha=90.00 beta=90.00 gamma=120.00
Closest atoms and distances in Å follow each position.
Space group R-3c (No. 167, hexagonal axes)
One atom of each set of equivalent atoms:
La (0.0000, 0.0000, 0.2500)  3 O 2.34
Ir (0.0000, 0.0000, 0.0000)  6 O 2.07
O (0.0000, 0.4002, 0.2500)  2 Ir 2.07

Calculated values
For the total DFT energy (no corrections), the calculation gives -0.2827 Ha/atom. The calculation puts the theoretical density at 10091 kg/m³.

Which value of theoretical density does entry 2 give? 4182 kg/m³